[1]
Material: HoZnAu
Method: DFT, GGA-PBE
State: optimized geometry

Theoretical density, Mg/m³: 9.95
Formation energy, eV/atom: -0.492

Lattice parameters (Å, degrees): 6.5826 6.5826 6.5826 90.00 90.00 90.00
Closest atoms and distances in Å follow each position.
Space group F-43m (No. 216)
Asymmetric unit:
Ho (0.0000, 0.0000, 0.0000)  4 Au 2.85
Zn (0.0000, 0.0000, 0.5000)  4 Au 2.85
Au (0.2500, 0.2500, 0.7500)  4 Ho 2.85, 4 Zn 2.85

[2]
Material: NaTh2Ge4Pt3
Method: DFT, GGA-PBE
State: optimized geometry

Theoretical density, Mg/m³: 11.32
Formation energy, eV/atom: -0.725

Lattice parameters (Å, degrees): 4.3205 4.3205 10.7127 90.00 90.00 90.00
Closest atoms and distances in Å follow each position.
Space group P-4m2 (No. 115)
Asymmetric unit:
Na (0.0000, 0.0000, 0.0000)  4 Ge 2.66
Th (0.0000, 0.5000, 0.7445)  8 Ge 3.28-3.40, 6 Pt 3.32-3.49, 2 Na 3.49
Ge (0.0000, 0.0000, 0.5000)  4 Pt 2.54
Ge (0.0000, 0.5000, 0.1442)  3 Pt 2.48-2.66, 2 Na 2.66
Ge (0.5000, 0.5000, 0.5000)  4 Pt 2.54
Pt (0.0000, 0.5000, 0.3759)  5 Ge 2.48-2.54
Pt (0.5000, 0.5000, 0.0000)  4 Ge 2.66

[3]
Material: TaTeSe2
Method: DFT, GGA-PBE
State: optimized geometry

Formation energy without anion corrections, meV/atom: 335
Theoretical density, Mg/m³: 9.51

Lattice parameters (Å, degrees): 4.8538 4.8538 6.9127 90.00 90.00 90.00
Closest atoms and distances in Å follow each position.
Space group I-4m2 (No. 119)
Asymmetric unit:
Ta (0.0000, 0.0000, 0.0000)  4 Se 2.98, 4 Te 2.98
Te (0.0000, 0.5000, 0.7500)  4 Ta 2.98, 4 Se 2.98
Se (0.0000, 0.0000, 0.5000)  4 Se 2.98, 4 Te 2.98
Se (0.0000, 0.5000, 0.2500)  4 Ta 2.98, 4 Se 2.98

[4]
Material: TbTlCd2
Method: DFT, GGA-PBE
State: optimized geometry

Theoretical density, Mg/m³: 9.32
Formation energy, eV/atom: -0.152
Offset from the most stable computed form, eV per atom: 0.1110

Lattice parameters (Å, degrees): 3.8945 3.8945 6.9096 90.00 90.00 90.00
Closest atoms and distances in Å follow each position.
Space group P4/mmm (No. 123)
Asymmetric unit:
Tb (0.0000, 0.0000, 0.0000)  8 Cd 3.24, 2 Tl 3.45
Tl (0.0000, 0.0000, 0.5000)  8 Cd 3.26, 2 Tb 3.45
Cd (0.5000, 0.5000, 0.2480)  4 Tb 3.24, 4 Tl 3.26, 2 Cd 3.43-3.48

[5]
Material: Er2Tm2Sc5
Method: DFT, GGA-PBE
State: optimized geometry

Theoretical density, Mg/m³: 5.99
Formation energy, eV/atom: 0.193
Offset from the most stable computed form, eV per atom: 0.1481

Lattice parameters (Å, degrees): 11.5675 8.2333 10.4495 90.00 90.00 90.00
Closest atoms and distances in Å follow each position.
Space group Ima2 (No. 46)
Asymmetric unit:
Er (0.0000, 0.0000, 0.0000)  4 Sc 3.14-3.21, 2 Er 3.31, 2 Tm 3.37
Er (0.2500, 0.1071, 0.1278)  5 Sc 3.25-3.46, 2 Er 3.31, 4 Tm 3.40-3.62
Tm (0.1063, 0.1277, 0.4355)  5 Sc 3.13-3.37, 2 Tm 3.24-3.32, 2 Er 3.37-3.40
Sc (0.0984, 0.6900, 0.7453)  4 Sc 3.08-3.30, 2 Tm 3.13-3.29, 2 Er 3.21-3.25
Sc (0.1253, 0.0620, 0.7377)  3 Sc 2.89-3.08, 1 Er 3.14, 1 Tm 3.21
Sc (0.2500, 0.7183, 0.0028)  4 Sc 3.17-3.22, 2 Tm 3.37, 1 Er 3.46

[6]
Material: Re2AgPd
Method: DFT, GGA-PBE
State: optimized geometry

Theoretical density, Mg/m³: 10.58
Formation energy, eV/atom: 2.331
Offset from the most stable computed form, eV per atom: 1.3563

Lattice parameters (Å, degrees): 5.7109 5.7109 11.2981 90.00 90.00 90.00
Closest atoms and distances in Å follow each position.
Space group I-42d (No. 122)
Asymmetric unit:
Re (0.2340, 0.2500, 0.1250)  2 Pd 2.41, 2 Ag 2.52
Ag (0.0000, 0.0000, 0.5000)  4 Re 2.52
Pd (0.0000, 0.0000, 0.0000)  4 Re 2.41

[7]
Material: Ca2PrPaN4
Method: DFT, GGA-PBE
State: optimized geometry

Formation energy without anion corrections, meV/atom: -1378
Theoretical density, Mg/m³: 6.49

Lattice parameters (Å, degrees): 6.1272 3.6138 6.2443 90.00 109.85 90.00
Closest atoms and distances in Å follow each position.
Space group P2/m (No. 10)
Asymmetric unit:
Ca (0.0000, 0.0000, 0.0000)  6 N 2.55-2.56
Ca (0.0000, 0.5000, 0.5000)  6 N 2.67-2.79
Pr (0.5000, 0.0000, 0.5000)  6 N 2.53
Pa (0.5000, 0.5000, 0.0000)  6 N 2.27-2.40
N (0.2779, 0.0000, 0.7758)  2 Pa 2.40, 1 Pr 2.53, 3 Ca 2.55-2.67
N (0.2796, 0.5000, 0.2285)  1 Pa 2.27, 2 Pr 2.53